1.
A plane-wave DFT calculation with PBE was carried out for crystalline Na2GaS8 at its relaxed geometry.

Properties
As for the density: 2.221 Mg/m³. The value obtained for the uncorrected formation energy is -0.28 eV per atom. The calculation puts the volume at 278.3 Å³/cell. As for the crystal system: triclinic.

Cell lengths 7.770, 11.163, 9.725 Å; angles 28.81, 43.37, 52.24 degrees
Sites, in units of the cell vectors:
S: 0.778 0.231 0.696
S: 0.281 0.753 0.659
S: 0.235 0.709 0.938
S: 0.719 0.247 0.341
S: 0.858 0.604 0.304
S: 0.142 0.396 0.696
S: 0.765 0.291 0.062
S: 0.222 0.769 0.304
Ga: 0.000 0.000 0.000
Na: 0.258 0.253 0.086
Na: 0.742 0.747 0.914

=====

2.
A plane-wave DFT calculation with PBE was carried out for crystalline NaGaS2 at its relaxed geometry.

Properties
As for the density: 2.880 Mg/m³. The value obtained for the uncorrected formation energy is -0.93 eV per atom. The calculation puts the volume at 180.9 Å³/cell. As for the crystal system: monoclinic.

Cell lengths 7.750, 3.732, 7.446 Å; angles 59.91, 96.93, 103.93 degrees
Sites, in units of the cell vectors:
Na: 0.703 0.676 0.353
Na: 0.445 0.547 0.853
S: 0.397 0.086 0.289
S: 0.751 0.263 0.789
S: 0.200 0.050 0.728
S: 0.947 0.423 0.228
Ga: 0.220 0.413 0.373
Ga: 0.927 0.767 0.873

=====

3.
A plane-wave DFT calculation with PBE was carried out for crystalline NaGaS2 at its relaxed geometry.

Properties
As for the density: 2.986 Mg/m³. The value obtained for the uncorrected formation energy is -0.55 eV per atom. The calculation puts the volume at 348.9 Å³/cell. As for the crystal system: monoclinic.

Cell lengths 17.597, 3.509, 9.464 Å; angles 90.00, 143.35, 90.00 degrees
Sites, in units of the cell vectors:
Ga: 0.726 0.000 0.825
Ga: 0.226 0.500 0.325
Ga: 0.274 0.000 0.175
Ga: 0.774 0.500 0.675
Na: 0.929 0.500 0.549
Na: 0.429 0.000 0.049
Na: 0.071 0.500 0.451
Na: 0.571 0.000 0.951
S: 0.074 0.000 0.184
S: 0.574 0.500 0.684
S: 0.926 0.000 0.816
S: 0.350 0.500 0.703
S: 0.150 0.000 0.797
S: 0.426 0.500 0.316
S: 0.650 0.500 0.297
S: 0.850 0.000 0.203

=====

4.
A plane-wave DFT calculation with PBE was carried out for crystalline Na2GaS at its relaxed geometry.

Properties
As for the density: 2.757 Mg/m³. The value obtained for the uncorrected formation energy is -0.31 eV per atom. The calculation puts the volume at 89.0 Å³/cell. As for the crystal system: cubic.

Cell lengths 5.011, 5.011, 5.011 Å; angles 60.00, 60.00, 60.00 degrees
Sites, in units of the cell vectors:
Na: 0.250 0.250 0.250
Na: 0.750 0.750 0.750
S: 0.000 0.000 0.000
Ga: 0.500 0.500 0.500

=====

5.
A plane-wave DFT calculation with PBE was carried out for crystalline NaGaS2 at its relaxed geometry.

Properties
As for the density: 3.387 Mg/m³. The value obtained for the uncorrected formation energy is -0.81 eV per atom. The calculation puts the volume at 76.9 Å³/cell. As for the crystal system: trigonal.

Cell lengths 3.624, 3.624, 7.077 Å; angles 75.17, 75.17, 60.00 degrees
Sites, in units of the cell vectors:
S: 0.266 0.266 0.202
S: 0.068 0.068 0.797
Na: 0.500 0.500 0.501
Ga: 0.667 0.667 0.999

=====

6.
A plane-wave DFT calculation with PBE was carried out for crystalline NaGaS at its relaxed geometry.

Properties
As for the density: 2.674 Mg/m³. The value obtained for the uncorrected formation energy is -0.41 eV per atom. The calculation puts the volume at 310.0 Å³/cell. As for the crystal system: orthorhombic.

Cell lengths 6.669, 6.669, 8.643 Å; angles 115.97, 115.97, 82.25 degrees
Sites, in units of the cell vectors:
Na: 0.367 0.367 0.735
Na: 0.633 0.633 0.265
Na: 0.883 0.383 0.765
Na: 0.617 0.117 0.235
S: 0.542 0.042 0.500
S: 0.958 0.458 0.500
S: 0.292 0.292 0.000
S: 0.708 0.708 0.000
Ga: 0.125 0.875 0.250
Ga: 0.125 0.875 0.750
Ga: 0.125 0.375 0.250
Ga: 0.625 0.875 0.750

=====

7.
A plane-wave DFT calculation with PBE was carried out for crystalline NaGaS2 at its relaxed geometry.

Properties
As for the density: 2.909 Mg/m³. The value obtained for the uncorrected formation energy is -0.95 eV per atom. The calculation puts the volume at 716.3 Å³/cell. As for the crystal system: monoclinic.

Cell lengths 15.506, 7.305, 7.305 Å; angles 89.99, 110.73, 69.27 degrees
Sites, in units of the cell vectors:
S: 0.250 0.806 0.306
S: 0.750 0.195 0.179
S: 0.250 0.321 0.821
S: 0.547 0.089 0.285
S: 0.453 0.911 0.715
S: 0.050 0.211 0.913
S: 0.047 0.215 0.411
S: 0.550 0.587 0.289
S: 0.750 0.194 0.694
S: 0.953 0.785 0.589
S: 0.950 0.789 0.087
S: 0.250 0.321 0.305
S: 0.450 0.413 0.711
S: 0.250 0.805 0.821
S: 0.750 0.679 0.179
S: 0.750 0.679 0.695
Na: 0.126 0.657 0.469
Na: 0.374 0.969 0.157
Na: 0.874 0.343 0.531
Na: 0.626 0.031 0.843
Na: 0.620 0.534 0.836
Na: 0.380 0.466 0.164
Na: 0.120 0.664 0.966
Na: 0.880 0.336 0.034
Ga: 0.348 0.236 0.637
Ga: 0.848 0.863 0.264
Ga: 0.651 0.258 0.363
Ga: 0.652 0.764 0.363
Ga: 0.152 0.137 0.736
Ga: 0.349 0.742 0.637
Ga: 0.151 0.137 0.242
Ga: 0.849 0.863 0.758

=====

8.
A plane-wave DFT calculation with PBE was carried out for crystalline NaGaS2 at its relaxed geometry.

Properties
As for the density: 2.668 Mg/m³. The value obtained for the uncorrected formation energy is -0.74 eV per atom. The calculation puts the volume at 97.6 Å³/cell. As for the crystal system: trigonal.

Cell lengths 7.636, 7.636, 7.636 Å; angles 29.84, 29.84, 29.84 degrees
Sites, in units of the cell vectors:
S: 0.609 0.609 0.609
S: 0.131 0.131 0.131
Na: 0.000 0.000 0.000
Ga: 0.511 0.511 0.511

=====

9.
A plane-wave DFT calculation with PBE was carried out for crystalline NaGaS3 at its relaxed geometry.

Properties
As for the density: 2.352 Mg/m³. The value obtained for the uncorrected formation energy is 0.69 eV per atom. The calculation puts the volume at 133.4 Å³/cell. As for the crystal system: cubic.

Cell lengths 5.109, 5.109, 5.109 Å; angles 90.00, 90.00, 90.00 degrees
Last column: magnetic moment on the atom in μB.
Sites, in units of the cell vectors:
S: 0.000 0.000 0.500  0.80
S: 0.000 0.500 0.000  0.93
S: 0.500 0.000 0.000  0.76
Ga: 0.500 0.500 0.500  0.02
Na: 0.000 0.000 0.000  0.01

=====

10.
A plane-wave DFT calculation with PBE was carried out for crystalline NaGaS3 at its relaxed geometry.

Properties
As for the density: 2.854 Mg/m³. The value obtained for the uncorrected formation energy is -0.12 eV per atom. The calculation puts the volume at 109.9 Å³/cell. As for the crystal system: cubic.

Cell lengths 4.790, 4.790, 4.790 Å; angles 90.00, 90.00, 90.00 degrees
Sites, in units of the cell vectors:
S: 0.000 0.000 0.500
S: 0.000 0.500 0.000
S: 0.500 0.000 0.000
Ga: 0.000 0.000 0.000
Na: 0.500 0.500 0.500

=====

11.
A plane-wave DFT calculation with PBE was carried out for crystalline NaGaS2 at its relaxed geometry.

Properties
As for the density: 2.859 Mg/m³. The value obtained for the uncorrected formation energy is -0.92 eV per atom. The calculation puts the volume at 182.2 Å³/cell. As for the crystal system: monoclinic.

Cell lengths 6.601, 6.598, 6.112 Å; angles 114.81, 122.74, 96.38 degrees
Sites, in units of the cell vectors:
Ga: 0.625 0.314 0.029
Ga: 0.151 0.341 0.530
S: 0.036 0.650 0.490
S: 0.740 0.005 0.070
S: 0.276 0.389 0.990
S: 0.500 0.266 0.569
Na: 0.030 0.719 0.030
Na: 0.747 0.936 0.530

=====

12.
A plane-wave DFT calculation with PBE was carried out for crystalline NaGaS2 at its relaxed geometry.

Properties
As for the density: 2.819 Mg/m³. The value obtained for the uncorrected formation energy is -0.50 eV per atom. The calculation puts the volume at 369.6 Å³/cell. As for the crystal system: monoclinic.

Cell lengths 14.842, 4.940, 9.235 Å; angles 90.00, 146.92, 90.00 degrees
Sites, in units of the cell vectors:
Ga: 0.710 0.602 0.731
Ga: 0.290 0.398 0.269
Ga: 0.210 0.898 0.231
Ga: 0.790 0.102 0.769
S: 0.485 0.211 0.160
S: 0.927 0.980 0.729
S: 0.515 0.789 0.840
S: 0.015 0.711 0.340
S: 0.985 0.289 0.660
S: 0.073 0.020 0.271
S: 0.427 0.520 0.229
S: 0.573 0.480 0.771
Na: 0.301 0.406 0.672
Na: 0.699 0.594 0.328
Na: 0.199 0.906 0.828
Na: 0.801 0.094 0.172